Here is an optimized crystal structure of PrNd2MnN4 from the Alexandria database. Energies are from PBE.

Cell: 3.514 6.196 12.114 Å, 90.00 90.00 106.47°
Site moments in Bohr magnetons follow the coordinates.
Element x y z (fractional)
N 0.728 0.456 0.865  0.03
N 0.000 0.000 0.000  0.05
N 0.000 0.000 0.500  0.05
N 0.272 0.544 0.365  0.03
N 0.272 0.544 0.135  0.03
N 0.581 0.161 0.250  -0.04
N 0.728 0.456 0.635  0.03
N 0.419 0.839 0.750  -0.04
Nd 0.631 0.263 0.045  0.05
Nd 0.631 0.263 0.455  0.05
Nd 0.369 0.737 0.955  0.05
Nd 0.369 0.737 0.545  0.05
Pr 0.896 0.791 0.250  0.09
Pr 0.104 0.209 0.750  0.09
Mn 0.833 0.666 0.750  2.72
Mn 0.167 0.334 0.250  2.72

Values from the calculation:
**DOS at the Fermi energy**: 0.4568 states/eV per atom
**Raw formation energy**: -752 kJ/mol of formula units
**DFT total energy**: -129.17 eV/cell